[1]
DFT (PBE) results for an optimized crystal structure of Ag2AsCl.

Geometry as CIF:
```
data_Ag2AsCl
_chemical_formula_sum 'Ag4 As2 Cl2'
_space_group_name_H-M_alt 'C 1 2/m 1'
_space_group_IT_number 12
_cell_length_a 6.202
_cell_length_b 3.541
_cell_length_c 7.735
_cell_angle_alpha 90.00
_cell_angle_beta 105.21
_cell_angle_gamma 90.00
loop_
_space_group_symop_operation_xyz
'x,y,z'
'-x,-y,-z'
'-x,y,-z'
'x,-y,z'
'x+1/2,y+1/2,z'
'-x+1/2,-y+1/2,-z'
'-x+1/2,y+1/2,-z'
'x+1/2,-y+1/2,z'
loop_
_atom_site_label
_atom_site_fract_x
_atom_site_fract_y
_atom_site_fract_z
Ag1 0.247 0.000 0.239
As1 0.000 0.500 0.000
Cl1 0.000 0.000 0.500
```

## Properties
ΔE_f (raw)   -66 meV per atom
Crystal system   monoclinic
Uncorrected energy   -3.1158 eV/atom

[2]
DFT (PBE) results for an optimized crystal structure of AgAs2Cl.

Geometry as CIF:
```
data_AgAs2Cl
_chemical_formula_sum 'Ag1 As2 Cl1'
_space_group_name_H-M_alt 'P m m m'
_space_group_IT_number 47
_cell_length_a 3.080
_cell_length_b 4.495
_cell_length_c 6.072
_cell_angle_alpha 90.00
_cell_angle_beta 90.00
_cell_angle_gamma 90.00
loop_
_space_group_symop_operation_xyz
'x,y,z'
'-x,-y,-z'
'-x,-y,z'
'x,y,-z'
'x,-y,-z'
'-x,y,z'
'-x,y,-z'
'x,-y,z'
loop_
_atom_site_label
_atom_site_fract_x
_atom_site_fract_y
_atom_site_fract_z
Ag1 0.000 0.000 0.000
As1 0.500 0.500 0.200
Cl1 0.000 0.000 0.500
```

## Properties
ΔE_f (raw)   177 meV per atom
Crystal system   orthorhombic
Uncorrected energy   -3.3225 eV/atom

Q: What is the ΔE_f (raw) in the first record?
A: -66 meV per atom

Q: Which of these has the lowest ΔE_f (raw)?
A: Ag2AsCl